PBE-GGA LiTeP2, relaxed; energy relative to the elements, uncorrected = 86 kJ/mol of formula units; E = -3.75 eV/atom; symmetry = I4/mmm, No. 139; magnetic moment = 0.00 μB/f.u.
1.0
5.8767 -0.0077 0.0000
3.4890 4.7289 0.0000
-4.6828 -2.3606 2.6522
P Li Te
2 1 1
Direct
0.5000 0.5000 0.0000
0.0000 0.0000 0.0000
0.7500 0.2500 0.5000
0.2500 0.7500 0.5000